[1]
Computed, not measured: a geometry-optimized La3NdTh2As6 structure at the PBE level of DFT.

Calculated values
Volume = 340.6 Å³/cell
Calculated formation energy = -1.5354 eV/atom

abc: 7.4673 7.4673 7.4818
angles: 99.56 99.56 120.04
Last column: nearest neighbours and their distance in Å.
Sites, in units of the cell vectors:
La (0.0000, 0.0000, 0.0000)  6 As 3.06-3.09
La (0.3343, 0.6657, 0.0000)  6 As 3.07-3.09
La (0.6657, 0.3343, 0.0000)  6 As 3.07-3.09
Nd (0.5000, 0.5000, 0.5000)  6 As 3.04
Th (0.1669, 0.8331, 0.5000)  6 As 3.01
Th (0.8331, 0.1669, 0.5000)  6 As 3.01
As (0.0828, 0.4191, 0.2576)  2 Th 3.01, 1 Nd 3.04, 3 La 3.07-3.09
As (0.2443, 0.2443, 0.7422)  2 Th 3.01, 1 Nd 3.04, 3 La 3.06-3.08
As (0.4191, 0.0828, 0.2576)  2 Th 3.01, 1 Nd 3.04, 3 La 3.07-3.09
As (0.5809, 0.9172, 0.7424)  2 Th 3.01, 1 Nd 3.04, 3 La 3.07-3.09
As (0.7557, 0.7557, 0.2578)  2 Th 3.01, 1 Nd 3.04, 3 La 3.06-3.08
As (0.9172, 0.5809, 0.7424)  2 Th 3.01, 1 Nd 3.04, 3 La 3.07-3.09



[2]
Computed, not measured: a geometry-optimized LiFe2Mo structure at the PBE level of DFT.

Calculated values
Energy above the most stable polymorph in this dataset = 111 meV per atom
Volume = 54.5 Å³/cell
Calculated formation energy = 0.3252 eV/atom

abc: 9.3458 9.3458 9.3458
angles: 16.07 16.07 16.07
Last column: nearest neighbours and their distance in Å.
Sites, in units of the cell vectors:
Li (0.0000, 0.0000, 0.0000)  6 Li 2.61, 6 Fe 2.74
Fe (0.2506, 0.2506, 0.2506)  6 Fe 2.61, 3 Li 2.74, 3 Mo 2.77
Fe (0.7494, 0.7494, 0.7494)  6 Fe 2.61, 3 Li 2.74, 3 Mo 2.77
Mo (0.5000, 0.5000, 0.5000)  6 Mo 2.61, 6 Fe 2.77



[3]
Computed, not measured: a geometry-optimized MgAg structure at the PBE level of DFT.

Calculated values
Volume = 106.8 Å³/cell
Calculated formation energy = 0.2350 eV/atom

abc: 4.7487 4.7487 5.4666
angles: 90.00 90.00 120.00
Last column: nearest neighbours and their distance in Å.
Sites, in units of the cell vectors:
Mg (0.3333, 0.6667, 0.2500)  5 Ag 2.73-2.74
Mg (0.6667, 0.3333, 0.7500)  5 Ag 2.73-2.74
Ag (0.3333, 0.6667, 0.7500)  5 Mg 2.73-2.74
Ag (0.6667, 0.3333, 0.2500)  5 Mg 2.73-2.74



[4]
Computed, not measured: a geometry-optimized Mn2AgMo structure at the PBE level of DFT.

Calculated values
Energy above the most stable polymorph in this dataset = 134 meV per atom
Volume = 58.9 Å³/cell
Calculated formation energy = 0.4203 eV/atom

abc: 2.7068 3.9866 5.4971
angles: 90.00 96.61 90.00
Last column: nearest neighbours and their distance in Å.
Sites, in units of the cell vectors:
Mn (0.0000, 0.0000, 0.0000)  1 Mo 2.48, 4 Mn 2.64-2.71
Mn (0.4873, 0.5000, 0.2352)  2 Mo 2.46, 4 Mn 2.64-2.71, 1 Ag 2.70
Ag (0.4471, 0.5000, 0.7415)  6 Mn 2.70-2.80, 2 Ag 2.71, 4 Mo 2.91-2.92
Mo (0.8743, 0.0000, 0.4403)  3 Mn 2.46-2.48, 2 Mo 2.71



> The highest volume belongs to which entry?

La3NdTh2As6



Please write out number 4 again, unchanged.
Computed, not measured: a geometry-optimized Mn2AgMo structure at the PBE level of DFT.

Calculated values
Energy above the most stable polymorph in this dataset = 134 meV per atom
Volume = 58.9 Å³/cell
Calculated formation energy = 0.4203 eV/atom

abc: 2.7068 3.9866 5.4971
angles: 90.00 96.61 90.00
Last column: nearest neighbours and their distance in Å.
Sites, in units of the cell vectors:
Mn (0.0000, 0.0000, 0.0000)  1 Mo 2.48, 4 Mn 2.64-2.71
Mn (0.4873, 0.5000, 0.2352)  2 Mo 2.46, 4 Mn 2.64-2.71, 1 Ag 2.70
Ag (0.4471, 0.5000, 0.7415)  6 Mn 2.70-2.80, 2 Ag 2.71, 4 Mo 2.91-2.92
Mo (0.8743, 0.0000, 0.4403)  3 Mn 2.46-2.48, 2 Mo 2.71



> What is the formula in the third record?

MgAg